(1)
Mg2PtBr | PBE | relaxed

## Properties
* space-group type: P4mm, No. 99
* crystal system: tetragonal
* raw formation energy: -0.573 eV per atom

Cell: 3.6911 3.6911 7.2267 Å, 90.00 90.00 90.00°
Atoms (fractional coordinates):
Pt 0.0000 0.0000 0.3397
Mg 0.0000 0.0000 0.9974
Mg 0.5000 0.5000 0.3336
Br 0.5000 0.5000 0.8293



(2)
Cs2CuF6 | PBE | relaxed

## Properties
* space-group type: Fm-3m, No. 225
* crystal system: cubic
* raw formation energy: -2.004 eV per atom

Cell: 6.4157 6.4157 6.4157 Å, 60.00 60.00 60.00°
Each line ends with the local moment (μB).
Atoms (fractional coordinates):
F 0.7946 0.2054 0.7946  0.08
F 0.7946 0.7946 0.2054  0.08
F 0.2054 0.7946 0.7946  0.08
F 0.2054 0.7946 0.2054  0.08
F 0.2054 0.2054 0.7946  0.08
F 0.7946 0.2054 0.2054  0.08
Cu 0.0000 0.0000 0.0000  0.47
Cs 0.2500 0.2500 0.2500  0.00
Cs 0.7500 0.7500 0.7500  0.00



(3)
NiBiPb3 | PBE | relaxed

## Properties
* space-group type: C2/m, No. 12
* formation energy from the elements: 0.029 eV/atom
* crystal system: monoclinic

Cell: 3.5238 7.1656 11.3799 Å, 91.22 98.91 90.00°
Atoms (fractional coordinates):
Bi 0.4819 0.7612 0.9639
Bi 0.5181 0.2388 0.0361
Pb 0.3523 0.9886 0.7047
Pb 0.6477 0.0114 0.2953
Pb 0.1162 0.6112 0.2324
Pb 0.7531 0.6955 0.5061
Pb 0.2469 0.3045 0.4939
Pb 0.8838 0.3888 0.7676
Ni 0.0539 0.9532 0.1078
Ni 0.9461 0.0468 0.8922



(4)
YAlCr2 | PBE | relaxed

## Properties
* space-group type: F-43m, No. 216
* formation energy from the elements: 0.134 eV/atom
* crystal system: cubic

Cell: 4.7158 4.7160 4.7149 Å, 119.96 119.96 90.04°
Each line ends with the local moment (μB).
Atoms (fractional coordinates):
Cr 0.0000 0.0000 0.0000  3.28
Cr 0.2500 0.7500 0.5000  -3.21
Al 0.7500 0.2500 0.5000  0.00
Y 0.5000 0.5000 0.0000  -0.20



(5)
SmPuZnSn | PBE | relaxed

## Properties
* space-group type: F-43m, No. 216
* formation energy from the elements: -0.327 eV/atom
* crystal system: cubic

Cell: 5.2783 5.2783 5.2783 Å, 60.00 60.00 60.00°
Each line ends with the local moment (μB).
Atoms (fractional coordinates):
Pu 0.7500 0.7500 0.7500  5.54
Sn 0.5000 0.5000 0.5000  -0.05
Sm 0.2500 0.2500 0.2500  0.25
Zn 0.0000 0.0000 0.0000  0.04



(6)
HgTeI2N | PBE | relaxed

## Properties
* space-group type: P4/mmm, No. 123
* crystal system: tetragonal
* raw formation energy: 0.842 eV per atom

Cell: 5.0301 5.0301 5.0546 Å, 90.00 90.00 90.00°
Atoms (fractional coordinates):
I 0.0000 0.5000 0.0000
I 0.5000 0.0000 0.0000
N 0.0000 0.0000 0.0000
Hg 0.5000 0.5000 0.5000
Te 0.0000 0.0000 0.5000



(7)
Tm3MnPd12 | PBE | relaxed

## Properties
* space-group type: P4/mmm, No. 123
* formation energy from the elements: -0.729 eV/atom
* crystal system: tetragonal

Cell: 4.0598 4.0598 16.1453 Å, 90.00 90.00 90.00°
Each line ends with the local moment (μB).
Atoms (fractional coordinates):
Pd 0.0000 0.5000 0.8838  0.05
Pd 0.0000 0.5000 0.1162  0.05
Pd 0.5000 0.5000 0.5000  -0.01
Pd 0.5000 0.0000 0.3721  -0.01
Pd 0.5000 0.0000 0.1162  0.05
Pd 0.5000 0.5000 0.0000  0.05
Pd 0.0000 0.5000 0.3721  -0.01
Pd 0.0000 0.5000 0.6279  -0.01
Pd 0.5000 0.0000 0.6279  -0.01
Pd 0.5000 0.5000 0.7559  -0.01
Pd 0.5000 0.5000 0.2441  -0.01
Pd 0.5000 0.0000 0.8838  0.05
Tm 0.0000 0.0000 0.5000  0.00
Tm 0.0000 0.0000 0.7554  -0.02
Tm 0.0000 0.0000 0.2446  -0.02
Mn 0.0000 0.0000 0.0000  3.89



(8)
Li2TaAg | PBE | relaxed

## Properties
* space-group type: Imm2, No. 44
* formation energy from the elements: 0.410 eV/atom
* crystal system: orthorhombic

Cell: 5.6809 5.6809 5.6809 Å, 152.30 129.00 59.02°
Atoms (fractional coordinates):
Ag 0.2330 0.7330 0.5000
Li 0.7685 0.2685 0.5000
Li 0.0057 0.0057 0.0000
Ta 0.4928 0.4928 0.0000